1.
VASP calculation (GGA-PBE) on a relaxed structure of Cs2SnI2F2.

Cell lengths 5.0808, 5.0808, 19.1247 Å; angles 90.00, 90.00, 90.00 degrees
Fractional positions:
Cs 0.0000 0.0000 0.1147
Cs 0.0000 0.0000 0.8853
Cs 0.5000 0.5000 0.3853
Cs 0.5000 0.5000 0.6147
Sn 0.0000 0.0000 0.5000
Sn 0.5000 0.5000 0.0000
I 0.0000 0.0000 0.3310
I 0.0000 0.0000 0.6690
I 0.5000 0.5000 0.1690
I 0.5000 0.5000 0.8310
F 0.0000 0.5000 0.0000
F 0.0000 0.5000 0.5000
F 0.5000 0.0000 0.0000
F 0.5000 0.0000 0.5000

Computed properties:
Its formation energy without anion corrections is -1.79 eV/atom. The volume is 35.264 Å³/atom. For the magnetization, the calculation gives 0.0 μB/f.u.



2.
VASP calculation (GGA-PBE) on a relaxed structure of KCr2Cu.

Cell lengths 2.9941, 5.6214, 10.0689 Å; angles 90.00, 90.00, 90.00 degrees
Fractional positions:
K 0.0000 0.0000 0.0000
K 0.5000 0.5000 0.5000
Cr 0.0000 0.0000 0.5013
Cr 0.0000 0.5000 0.8086
Cr 0.5000 0.0000 0.3086
Cr 0.5000 0.5000 0.0013
Cu 0.0000 0.5000 0.2120
Cu 0.5000 0.0000 0.7120

Computed properties:
For the energy relative to the lowest polymorph listed for this composition, the calculation gives 1.418 eV per formula unit. The volume is 21.184 Å³/atom. For the formation energy, the calculation gives 23.0 kcal/mol of atoms. For the magnetization, the calculation gives 0.1 μB/f.u.



3.
VASP calculation (GGA-PBE) on a relaxed structure of BaSr3As3.

Cell lengths 9.6536, 9.6536, 9.6536 Å; angles 90.00, 90.00, 90.00 degrees
Fractional positions:
Ba 0.0697 0.4303 0.5697
Ba 0.4303 0.5697 0.0697
Ba 0.5697 0.0697 0.4303
Ba 0.9303 0.9303 0.9303
Sr 0.0681 0.5681 0.9319
Sr 0.1815 0.8185 0.3185
Sr 0.1822 0.1822 0.1822
Sr 0.3178 0.8178 0.6822
Sr 0.3185 0.1815 0.8185
Sr 0.4319 0.4319 0.4319
Sr 0.5681 0.9319 0.0681
Sr 0.6815 0.6815 0.6815
Sr 0.6822 0.3178 0.8178
Sr 0.8178 0.6822 0.3178
Sr 0.8185 0.3185 0.1815
Sr 0.9319 0.0681 0.5681
As 0.0001 0.2546 0.8813
As 0.9999 0.7546 0.6187
As 0.1187 0.5001 0.2454
As 0.2454 0.1187 0.5001
As 0.2546 0.8813 0.0001
As 0.3813 0.4999 0.7454
As 0.5001 0.2454 0.1187
As 0.4999 0.7454 0.3813
As 0.6187 0.9999 0.7546
As 0.7454 0.3813 0.4999
As 0.7546 0.6187 0.9999
As 0.8813 0.0001 0.2546

Computed properties:
The volume is 32.130 Å³/atom. For the formation energy, the calculation gives -24.7 kcal/mol of atoms. For the magnetization, the calculation gives 0.0 μB/f.u.



4.
VASP calculation (GGA-PBE) on a relaxed structure of SrPd.

Cell lengths 10.4068, 10.4068, 4.6854 Å; angles 90.00, 90.00, 90.00 degrees
Fractional positions:
Sr 0.0837 0.2654 0.0000
Sr 0.2346 0.5837 0.5000
Sr 0.2654 0.9163 0.0000
Sr 0.4163 0.2346 0.5000
Sr 0.5837 0.7654 0.5000
Sr 0.7346 0.0837 0.0000
Sr 0.7654 0.4163 0.5000
Sr 0.9163 0.7346 0.0000
Pd 0.0827 0.8354 0.5000
Pd 0.1646 0.0827 0.5000
Pd 0.3354 0.4173 0.0000
Pd 0.4173 0.6646 0.0000
Pd 0.5827 0.3354 0.0000
Pd 0.6646 0.5827 0.0000
Pd 0.8354 0.9173 0.5000
Pd 0.9173 0.1646 0.5000

Computed properties:
The volume is 31.715 Å³/atom. For the formation energy, the calculation gives -9.8 kcal/mol of atoms. For the magnetization, the calculation gives 0.0 μB/f.u.



5.
VASP calculation (GGA-PBE) on a relaxed structure of ReAu2Br.

Cell lengths 2.9744, 2.9744, 29.3207 Å; angles 90.00, 90.00, 120.00 degrees
Fractional positions:
Re 0.0000 0.0000 0.0000
Re 0.3333 0.6667 0.6667
Re 0.6667 0.3333 0.3333
Au 0.0000 0.0000 0.2582
Au 0.0000 0.0000 0.7418
Au 0.3333 0.6667 0.4085
Au 0.3333 0.6667 0.9248
Au 0.6667 0.3333 0.0752
Au 0.6667 0.3333 0.5915
Br 0.0000 0.0000 0.5000
Br 0.3333 0.6667 0.1667
Br 0.6667 0.3333 0.8333

Computed properties:
For the energy relative to the lowest polymorph listed for this composition, the calculation gives 0.505 eV per formula unit. Its formation energy without anion corrections is 0.63 eV/atom. The volume is 18.721 Å³/atom. For the magnetization, the calculation gives 0.0 μB/f.u.



6.
VASP calculation (GGA-PBE) on a relaxed structure of Sr2PaMn2N6.

Cell lengths 6.6637, 6.6637, 6.6637 Å; angles 52.53, 52.53, 52.53 degrees
Fractional positions:
Sr 0.2214 0.2214 0.2214
Sr 0.7786 0.7786 0.7786
Pa 0.0000 0.0000 0.0000
Mn 0.4371 0.4371 0.4371
Mn 0.5629 0.5629 0.5629
N 0.2521 0.2521 0.7426
N 0.2521 0.7426 0.2521
N 0.2574 0.7479 0.7479
N 0.7426 0.2521 0.2521
N 0.7479 0.2574 0.7479
N 0.7479 0.7479 0.2574

Computed properties:
Its formation energy without anion corrections is -0.79 eV/atom. The volume is 15.687 Å³/atom. For the magnetization, the calculation gives 0.0 μB/f.u.



7.
VASP calculation (GGA-PBE) on a relaxed structure of BaYCuTe3.

Cell lengths 9.4310, 4.4362, 9.8967 Å; angles 90.00, 105.23, 90.00 degrees
Fractional positions:
Ba 0.1902 0.2500 0.2475
Ba 0.8098 0.7500 0.7525
Y 0.3256 0.7500 0.8418
Y 0.6744 0.2500 0.1582
Cu 0.0759 0.2500 0.5827
Cu 0.9241 0.7500 0.4173
Te 0.1063 0.2500 0.8637
Te 0.2161 0.7500 0.5245
Te 0.4478 0.7500 0.1680
Te 0.5522 0.2500 0.8320
Te 0.7839 0.2500 0.4755
Te 0.8937 0.7500 0.1363

Computed properties:
Its formation energy without anion corrections is -1.24 eV/atom. The volume is 33.293 Å³/atom. For the magnetization, the calculation gives 0.0 μB/f.u.



8.
VASP calculation (GGA-PBE) on a relaxed structure of Pm2ZnSiPd6.

Cell lengths 5.5267, 6.3799, 6.5828 Å; angles 78.20, 65.41, 64.70 degrees
Fractional positions:
Pm 0.0066 0.2492 0.2349
Pm 0.9934 0.7508 0.7651
Zn 0.5000 0.5000 0.0000
Si 0.5000 0.0000 0.5000
Pd 0.0113 0.2057 0.7708
Pd 0.3428 0.4086 0.4096
Pd 0.4882 0.7982 0.2260
Pd 0.5118 0.2018 0.7740
Pd 0.6572 0.5914 0.5904
Pd 0.9887 0.7943 0.2292

Computed properties:
Its formation energy without anion corrections is -0.68 eV/atom. The volume is 19.071 Å³/atom. For the magnetization, the calculation gives 0.0 μB/f.u.



9.
VASP calculation (GGA-PBE) on a relaxed structure of La2Pm7Dy4.

Cell lengths 6.2175, 6.2175, 13.2955 Å; angles 90.00, 90.00, 120.00 degrees
Fractional positions:
La 0.3333 0.6667 0.0000
La 0.6667 0.3333 0.0000
Pm 0.0000 0.0000 0.0000
Pm 0.0000 0.3682 0.2235
Pm 0.0000 0.6318 0.7765
Pm 0.3682 0.0000 0.2235
Pm 0.3682 0.3682 0.7765
Pm 0.6318 0.0000 0.7765
Pm 0.6318 0.6318 0.2235
Dy 0.0000 0.0000 0.3935
Dy 0.0000 0.0000 0.6065
Dy 0.3333 0.6667 0.5000
Dy 0.6667 0.3333 0.5000

Computed properties:
The volume is 34.239 Å³/atom. For the formation energy, the calculation gives 4.0 kcal/mol of atoms. For the magnetization, the calculation gives 0.0 μB/f.u.



10.
VASP calculation (GGA-PBE) on a relaxed structure of Fe3Ni4.

Cell lengths 4.5474, 4.5474, 4.4967 Å; angles 90.00, 90.00, 120.00 degrees
Fractional positions:
Fe 0.0000 0.5000 0.0000
Fe 0.5000 0.0000 0.0000
Fe 0.5000 0.5000 0.0000
Ni 0.0000 0.0000 0.2568
Ni 0.0000 0.0000 0.7432
Ni 0.3333 0.6667 0.5000
Ni 0.6667 0.3333 0.5000

Computed properties:
For the energy relative to the lowest polymorph listed for this composition, the calculation gives 1.294 eV per formula unit. The volume is 11.504 Å³/atom. For the formation energy, the calculation gives 2.9 kcal/mol of atoms. For the magnetization, the calculation gives 9.0 μB/f.u.



11.
VASP calculation (GGA-PBE) on a relaxed structure of KSb4S8.

Cell lengths 8.0567, 8.0567, 8.0567 Å; angles 60.00, 60.00, 60.00 degrees
Fractional positions:
K 0.0000 0.0000 0.0000
Sb 0.3787 0.3787 0.3787
Sb 0.3787 0.3787 0.8639
Sb 0.3787 0.8639 0.3787
Sb 0.8639 0.3787 0.3787
S 0.1441 0.1441 0.1441
S 0.1441 0.1441 0.5676
S 0.1441 0.5676 0.1441
S 0.1475 0.6175 0.6175
S 0.5676 0.1441 0.1441
S 0.6175 0.1475 0.6175
S 0.6175 0.6175 0.1475
S 0.6175 0.6175 0.6175

Computed properties:
Its formation energy without anion corrections is -0.18 eV/atom. The volume is 28.446 Å³/atom. For the magnetization, the calculation gives 0.0 μB/f.u.



12.
VASP calculation (GGA-PBE) on a relaxed structure of Li2ZrMn.

Cell lengths 3.6985, 3.6985, 5.0335 Å; angles 90.00, 90.00, 90.00 degrees
Fractional positions:
Li 0.0000 0.5000 0.0000
Li 0.5000 0.0000 0.0000
Zr 0.0000 0.0000 0.5000
Mn 0.5000 0.5000 0.5000

Computed properties:
For the energy relative to the lowest polymorph listed for this composition, the calculation gives 0.372 eV per formula unit. The volume is 17.214 Å³/atom. For the formation energy, the calculation gives 6.5 kcal/mol of atoms. For the magnetization, the calculation gives 1.9 μB/f.u.



Question: Which value of magnetization does entry 4 give?
Answer: 0.0 μB/f.u.



Question: Which of these has the highest magnetization?
Answer: Fe3Ni4



Question: Which of these has the highest volume?
Answer: Cs2SnI2F2